(1)
Material: ReAg2Rh
Method: DFT, PBE
State: relaxed

Computed properties:
offset from the most stable computed form: 1.54 eV per formula unit
DFT formation energy: 0.59 eV per atom
magnetic moment: 0.0 Bohr magnetons per cell
density: 13.1 Mg/m³

```
data_ReAg2Rh
_chemical_formula_sum 'Re1 Ag2 Rh1'
_space_group_name_H-M_alt 'P m m m'
_space_group_IT_number 47
_space_group_name_Hall '-P 2 2'
_cell_length_a 2.708
_cell_length_b 4.466
_cell_length_c 5.279
_cell_angle_alpha 90.00
_cell_angle_beta 90.00
_cell_angle_gamma 90.00
loop_
_atom_site_label
_atom_site_type_symbol
_atom_site_fract_x
_atom_site_fract_y
_atom_site_fract_z
Re1 Re 0.000 0.000 0.000
Ag1 Ag 0.500 0.500 0.249
Rh1 Rh 0.000 0.000 0.500
```


(2)
Material: Re2AgRh
Method: DFT, PBE
State: relaxed

Computed properties:
offset from the most stable computed form: 1.61 eV per formula unit
DFT formation energy: 0.57 eV per atom
magnetic moment: 0.0 Bohr magnetons per cell
density: 15.6 Mg/m³

```
data_Re2AgRh
_chemical_formula_sum 'Re2 Ag1 Rh1'
_space_group_name_H-M_alt 'P m m m'
_space_group_IT_number 47
_space_group_name_Hall '-P 2 2'
_cell_length_a 2.812
_cell_length_b 4.613
_cell_length_c 4.774
_cell_angle_alpha 90.00
_cell_angle_beta 90.00
_cell_angle_gamma 90.00
loop_
_atom_site_label
_atom_site_type_symbol
_atom_site_fract_x
_atom_site_fract_y
_atom_site_fract_z
Re1 Re 0.000 0.000 0.000
Re2 Re 0.500 0.500 0.000
Ag1 Ag 0.000 0.500 0.500
Rh1 Rh 0.500 0.000 0.500
```


(3)
Material: Re2AgRh
Method: DFT, PBE
State: relaxed

Computed properties:
offset from the most stable computed form: 0.00 eV per formula unit
DFT formation energy: 0.17 eV per atom
magnetic moment: 0.0 Bohr magnetons per cell
density: 15.7 Mg/m³

```
data_Re2AgRh
_chemical_formula_sum 'Re6 Ag3 Rh3'
_space_group_name_H-M_alt 'R 3 m'
_space_group_IT_number 160
_space_group_name_Hall 'R 3 -2"'
_cell_length_a 2.7811
_cell_length_b 2.7811
_cell_length_c 27.6883
_cell_angle_alpha 90.00
_cell_angle_beta 90.00
_cell_angle_gamma 120.00
loop_
_atom_site_label
_atom_site_type_symbol
_atom_site_fract_x
_atom_site_fract_y
_atom_site_fract_z
Re1 Re 0.0000 0.0000 0.0000
Re2 Re 0.0000 0.0000 0.2556
Ag1 Ag 0.0000 0.0000 0.4989
Rh1 Rh 0.0000 0.0000 0.7449
```


(4)
Material: ReAg2Rh
Method: DFT, PBE
State: relaxed

Computed properties:
offset from the most stable computed form: 1.51 eV per formula unit
DFT formation energy: 0.59 eV per atom
magnetic moment: 0.0 Bohr magnetons per cell
density: 13.1 Mg/m³

```
data_ReAg2Rh
_chemical_formula_sum 'Re2 Ag4 Rh2'
_space_group_name_H-M_alt 'C m m m'
_space_group_IT_number 65
_space_group_name_Hall '-C 2 2'
_cell_length_a 5.247
_cell_length_b 8.990
_cell_length_c 2.713
_cell_angle_alpha 90.00
_cell_angle_beta 90.00
_cell_angle_gamma 90.00
loop_
_atom_site_label
_atom_site_type_symbol
_atom_site_fract_x
_atom_site_fract_y
_atom_site_fract_z
Re1 Re 0.000 0.000 0.000
Ag1 Ag 0.250 0.250 0.500
Rh1 Rh 0.000 0.500 0.000
```